Density functional theory data (PBE) for a geometry-optimized LiLu2Re structure.

As for the formation energy: 0.01 eV/atom. Its magnetic moment is 0.00 μB per cell. Its density of states at the Fermi level is 3.90 states/eV per cell. Its raw total energy is -5.84 eV/atom.

Lattice parameters (Å, degrees): 4.8351 4.8351 4.8351 60.00 60.00 60.00
Fractional positions:
1 Li 0.2500 0.2500 0.2500
2 Lu 0.0000 0.0000 0.0000
3 Lu 0.5000 0.5000 0.5000
4 Re 0.7500 0.7500 0.7500

=====

Density functional theory data (PBE) for a geometry-optimized LiSmLuRe structure.

As for the formation energy: 0.08 eV/atom. Its magnetic moment is 0.00 μB per cell. Its density of states at the Fermi level is 3.60 states/eV per cell. Its raw total energy is -5.82 eV/atom.

Lattice parameters (Å, degrees): 4.9222 4.9222 4.9222 60.00 60.00 60.00
Fractional positions:
1 Sm 0.2500 0.2500 0.2500
2 Re 0.5000 0.5000 0.5000
3 Li 0.0000 0.0000 0.0000
4 Lu 0.7500 0.7500 0.7500

=====

Density functional theory data (PBE) for a geometry-optimized LiLuThRe structure.

As for the formation energy: -0.04 eV/atom. Its magnetic moment is 0.00 μB per cell. Its density of states at the Fermi level is 2.58 states/eV per cell. Its raw total energy is -6.62 eV/atom.

Lattice parameters (Å, degrees): 4.9603 4.9603 4.9603 60.00 60.00 60.00
Fractional positions:
1 Li 0.5000 0.5000 0.5000
2 Lu 0.2500 0.2500 0.2500
3 Re 0.0000 0.0000 0.0000
4 Th 0.7500 0.7500 0.7500

=====

Density functional theory data (PBE) for a geometry-optimized LiYLuRe structure.

As for the formation energy: 0.06 eV/atom. Its magnetic moment is 0.00 μB per cell. Its density of states at the Fermi level is 3.63 states/eV per cell. Its raw total energy is -6.28 eV/atom.

Lattice parameters (Å, degrees): 4.8913 4.8913 4.8913 60.00 60.00 60.00
Fractional positions:
1 Re 0.5000 0.5000 0.5000
2 Lu 0.2500 0.2500 0.2500
3 Li 0.0000 0.0000 0.0000
4 Y 0.7500 0.7500 0.7500

=====

Density functional theory data (PBE) for a geometry-optimized LiLuZrRe structure.

As for the formation energy: -0.08 eV/atom. Its magnetic moment is 0.00 μB per cell. Its density of states at the Fermi level is 2.15 states/eV per cell. Its raw total energy is -6.94 eV/atom.

Lattice parameters (Å, degrees): 4.7486 4.7486 4.7486 60.00 60.00 60.00
Fractional positions:
1 Re 0.5000 0.5000 0.5000
2 Li 0.0000 0.0000 0.0000
3 Zr 0.2500 0.2500 0.2500
4 Lu 0.7500 0.7500 0.7500

=====

Density functional theory data (PBE) for a geometry-optimized LiLuRh structure.

As for the formation energy: 0.45 eV/atom. Its magnetic moment is 0.02 μB per cell. Its density of states at the Fermi level is 2.72 states/eV per cell. Its raw total energy is -4.15 eV/atom.

Lattice parameters (Å, degrees): 2.9349 2.9349 7.8195 100.82 100.82 90.00
Fractional positions:
1 Li 0.4564 0.4564 0.9128
2 Rh 0.6170 0.6170 0.2339
3 Lu 0.7767 0.7767 0.5533